Computed, not measured: a relaxed UIrAu crystal at the PBE-GGA level of DFT.

Lattice parameters (Å, degrees): 6.5375 6.5375 6.5375 90.00 90.00 90.00
Space group F-43m (No. 216)
Asymmetric unit:
U: 0.0000 0.0000 0.0000 (multiplicity 4)
Ir: 0.2500 0.2500 0.2500 (multiplicity 4)
Au: 0.2500 0.2500 0.7500 (multiplicity 4)

Computed properties:
The value obtained for the energy relative to the elements is 0.1651 eV per atom. As for the total magnetization: 7.06 μB per cell. The calculation puts the polymorph energy (0 for the lowest one) at 222 meV per atom. As for the total energy: -91.690 eV per cell.

=====

Computed, not measured: a relaxed BePdW crystal at the PBE-GGA level of DFT.

Lattice parameters (Å, degrees): 5.7899 5.7899 5.7899 90.00 90.00 90.00
Space group F-43m (No. 216)
Asymmetric unit:
Be: 0.0000 0.0000 0.0000 (multiplicity 4)
Pd: 0.0000 0.0000 0.5000 (multiplicity 4)
W: 0.2500 0.2500 0.2500 (multiplicity 4)

Computed properties:
As for the total magnetization: 0.00 μB per cell. The calculation puts the polymorph energy (0 for the lowest one) at 379 meV per atom. As for the total energy: -77.006 eV per cell.

=====

Computed, not measured: a relaxed TbYCu2Sn2 crystal at the PBE-GGA level of DFT.

Lattice parameters (Å, degrees): 4.5407 4.5407 7.2432 90.00 90.00 120.00
Space group P3m1 (No. 156)
Asymmetric unit:
Tb: 0.0000 0.0000 0.0000 (multiplicity 1)
Y: 0.0000 0.0000 0.4999 (multiplicity 1)
Cu: 0.3333 0.6667 0.8169 (multiplicity 1)
Cu: 0.6667 0.3333 0.3169 (multiplicity 1)
Sn: 0.3333 0.6667 0.2299 (multiplicity 1)
Sn: 0.6667 0.3333 0.7294 (multiplicity 1)

Computed properties:
As for the total magnetization: 0.00 μB per cell. As for the total energy: -30.210 eV per cell.